1.
Below is NaTa4Re after structural relaxation, with properties calculated at the PBE level.

Cell and atoms, written as extended XYZ:
```
6
Lattice="3.710 -3.775 0.000 3.710 3.775 0.000 0.000 0.000 4.696" Properties=species:S:1:pos:R:3 pbc="T T T"
Na 0.000 0.000 0.000
Re 3.710 0.000 2.348
Ta 3.710 -1.250 0.000
Ta 3.710 1.250 0.000
Ta 1.314 0.000 2.348
Ta 6.106 0.000 2.348
```

***

2.
Below is NaReTc after structural relaxation, with properties calculated at the PBE level.

Cell and atoms, written as extended XYZ:
```
3
Lattice="3.502 0.901 2.230 -0.329 1.764 3.851 0.955 -2.267 3.463" Properties=species:S:1:pos:R:3 pbc="T T T"
Na 1.032 0.099 2.386
Re 3.096 0.298 7.158
Tc 0.000 0.000 0.000
```

***

3.
Below is NaRe3Te5 after structural relaxation, with properties calculated at the PBE level.

Cell and atoms, written as extended XYZ:
```
9
Lattice="-4.381 1.295 -3.832 -1.143 -3.307 4.828 -1.679 6.678 4.176" Properties=species:S:1:pos:R:3 pbc="T T T"
Na 0.000 0.000 0.000
Re -3.030 3.986 0.172
Re -1.411 1.685 4.502
Re -3.602 2.333 2.586
Te -3.708 1.375 0.064
Te -2.628 -0.159 2.951
Te -0.840 3.339 2.088
Te -4.575 4.824 2.221
Te -3.496 3.290 5.108
```

***

4.
Below is Na2TlRe after structural relaxation, with properties calculated at the PBE level.

Cell and atoms, written as extended XYZ:
```
4
Lattice="-4.169 -2.610 0.236 -2.107 -0.885 4.361 -4.232 2.221 1.186" Properties=species:S:1:pos:R:3 pbc="T T T"
Na 0.000 0.000 0.000
Na -7.881 -0.955 4.337
Re -2.627 -0.318 1.446
Tl -5.254 -0.637 2.892
```

***

5.
Below is NaTlRe after structural relaxation, with properties calculated at the PBE level.

Cell and atoms, written as extended XYZ:
```
3
Lattice="0.000 3.327 3.327 3.327 0.000 3.327 3.327 3.327 0.000" Properties=species:S:1:pos:R:3 pbc="T T T"
Na 1.664 1.664 1.664
Re 4.991 4.991 4.991
Tl 0.000 0.000 0.000
```

***

6.
Below is NaURe after structural relaxation, with properties calculated at the PBE level.

Cell and atoms, written as extended XYZ:
```
3
Lattice="-1.980 -0.003 4.117 -0.473 3.913 2.310 -4.144 1.845 0.544" Properties=species:S:1:pos:R:3 pbc="T T T"
Na -1.649 1.438 1.743
Re -4.948 4.315 5.228
U 0.000 0.000 0.000
```

***

Sequential uncorrected energy output: -50.562 -20.353 -51.467 -13.489 -11.652 -20.103 eV per cell